Record 1
DFT (PBE) results for SrPrCuSn after structural relaxation.

Summary:
- Calculated volume: 28.759 A^3/atom
- ΔH_f (0 K): -139 kJ/mol of formula units

a = 7.7202 Å, b = 7.7202 Å, c = 7.7202 Å
α = 90.00°, β = 90.00°, γ = 90.00°
Space group F-43m (No. 216)
Unique sites:
Sr1 0.0000 0.0000 0.0000 [4 per cell]
Pr1 0.0000 0.0000 0.5000 [4 per cell]
Cu1 0.2500 0.2500 0.7500 [4 per cell]
Sn1 0.2500 0.2500 0.2500 [4 per cell]


Record 2
DFT (PBE) results for ScFeBr2 after structural relaxation.

Summary:
- Calculated volume: 21.752 A^3/atom
- Distance to the lowest polymorph of the same formula: 458 meV/atom
- Uncorrected formation energy: -9.0 kJ per mole of atoms

a = 3.5614 Å, b = 4.2810 Å, c = 5.7120 Å
α = 90.00°, β = 92.44°, γ = 90.00°
Space group P2/m (No. 10)
Unique sites:
Sc1 0.0000 0.0000 0.0000 [1 per cell]
Fe1 0.5000 0.0000 0.5000 [1 per cell]
Br1 0.2788 0.5000 0.2574 [2 per cell]


Record 3
DFT (PBE) results for Tl after structural relaxation.

Summary:
- Calculated volume: 33.019 A^3/atom
- Distance to the lowest polymorph of the same formula: 100 meV/atom
- ΔH_f (0 K): 10 kJ/mol of formula units

a = 6.2013 Å, b = 6.2013 Å, c = 3.4344 Å
α = 90.00°, β = 90.00°, γ = 90.00°
Space group I4_1/amd (No. 141, origin choice 2)
Unique sites:
Tl1 0.0000 0.2500 0.3750 [4 per cell]


Record 4
DFT (PBE) results for NdTmZnFe after structural relaxation.

Summary:
- Calculated volume: 21.596 A^3/atom
- ΔH_f (0 K): -13 kJ/mol of formula units

a = 7.0172 Å, b = 7.0172 Å, c = 7.0172 Å
α = 90.00°, β = 90.00°, γ = 90.00°
Space group F-43m (No. 216)
Unique sites:
Nd1 0.0000 0.0000 0.0000 [4 per cell]
Tm1 0.0000 0.0000 0.5000 [4 per cell]
Zn1 0.2500 0.2500 0.7500 [4 per cell]
Fe1 0.2500 0.2500 0.2500 [4 per cell]


Record 5
DFT (PBE) results for Pm2Ga4CoRh3 after structural relaxation.

Summary:
- Calculated volume: 18.227 A^3/atom
- ΔH_f (0 K): -665 kJ/mol of formula units

a = 4.2570 Å, b = 4.2570 Å, c = 10.0580 Å
α = 90.00°, β = 90.00°, γ = 90.00°
Space group P-4m2 (No. 115)
Unique sites:
Pm1 0.0000 0.5000 0.2359 [2 per cell]
Ga1 0.0000 0.0000 0.5000 [1 per cell]
Ga2 0.0000 0.5000 0.8796 [2 per cell]
Ga3 0.5000 0.5000 0.5000 [1 per cell]
Co1 0.5000 0.5000 0.0000 [1 per cell]
Rh1 0.0000 0.0000 0.0000 [1 per cell]
Rh2 0.0000 0.5000 0.6324 [2 per cell]


Record 6
DFT (PBE) results for RbGa2Cu after structural relaxation.

Summary:
- Calculated volume: 26.532 A^3/atom
- ΔH_f (0 K): -24 kJ/mol of formula units

a = 4.3250 Å, b = 4.3250 Å, c = 19.6534 Å
α = 90.00°, β = 90.00°, γ = 120.00°
Space group R-3m (No. 166, hexagonal axes)
Unique sites:
Rb1 0.0000 0.0000 0.0000 [3 per cell]
Ga1 0.0000 0.0000 0.1906 [6 per cell]
Cu1 0.0000 0.0000 0.5000 [3 per cell]